No. 1
4
Lattice="4.279 0.000 0.000 0.000 5.092 0.000 -2.139 -2.546 5.147" Properties=species:S:1:pos:R:3 comment="KAu (SCAN, single point on PBEsol structure)" sg=Imma ef_mev_per_atom=-364 pbc="T T T"
K 2.139 -1.273 4.063
K 0.000 3.819 1.085
Au 2.139 1.273 1.681
Au 0.000 1.273 3.467

No. 2
4
Lattice="-0.443 -3.380 -1.374 4.094 -0.011 -1.293 0.087 -1.026 7.413" Properties=species:S:1:pos:R:3 comment="InAsBr2 (SCAN, single point on PBEsol structure)" de_polymorph_mev_per_atom=228.7 sg=Imm2 e_form_raw_ev_per_atom=-0.1152 pbc="T T T"
In 2.062 -2.032 -0.582
Br 0.704 -3.006 2.253
As 2.883 -1.195 2.012
Br 3.653 -4.296 4.475

No. 3
5
Lattice="5.238 0.000 0.000 0.000 5.238 0.000 0.000 0.000 5.238" Properties=species:S:1:pos:R:3 comment="YZn3Si (SCAN, single point on PBEsol structure)" sg=Pm-3m e_form_raw_ev_per_atom=1.4172 pbc="T T T"
Y 0.000 0.000 0.000
Zn 0.000 2.619 0.000
Si 2.619 2.619 2.619
Zn 2.619 0.000 0.000
Zn 0.000 0.000 2.619

No. 4
6
Lattice="-1.489 4.326 -0.356 -2.282 1.340 -3.749 -4.491 0.908 0.250" Properties=species:S:1:pos:R:3 comment="Co4TcMo (SCAN, single point on PBEsol structure)" sg=F-43m ef_mev_per_atom=88 pbc="T T T"
Co -4.240 3.135 -3.324
Co -3.095 2.463 -1.444
Mo -6.197 4.930 -2.891
Tc 0.000 0.000 0.000
Co -5.348 2.918 -1.319
Co -3.842 4.632 -1.622

No. 5
4
Lattice="-0.035 3.824 2.841 -0.665 -0.522 4.688 3.608 0.759 3.017" Properties=species:S:1:pos:R:3 comment="Be2InI (SCAN, single point on PBEsol structure)" sg=Fm-3m e_form_raw_ev_per_atom=1.1311 pbc="T T T"
Be 2.181 3.046 7.910
In 0.000 0.000 0.000
I 1.454 2.030 5.273
Be 0.727 1.015 2.637

No. 6
5
Lattice="4.653 0.000 0.000 0.000 4.653 0.000 0.000 0.000 4.653" Properties=species:S:1:pos:R:3 comment="YB3Pb (SCAN, single point on PBEsol structure)" sg=Pm-3m ef_mev_per_atom=1981 pbc="T T T"
Y 0.000 0.000 0.000
B 2.326 0.000 0.000
B 0.000 0.000 2.326
B 0.000 2.326 0.000
Pb 2.326 2.326 2.326